Material: Cs2ErSb2S6
Method: DFT, GGA-PBE
State: relaxed

a = 7.435 Å, b = 7.283 Å, c = 8.805 Å
α = 112.60°, β = 90.00°, γ = 120.69°
Fractional positions:
Cs (0.703, 0.405, 0.173)
Cs (0.297, 0.595, 0.827)
Er (0.500, 0.000, 0.500)
Sb (0.939, 0.879, 0.793)
Sb (0.061, 0.121, 0.207)
S (0.734, 0.467, 0.583)
S (0.219, 0.916, 0.240)
S (0.303, 0.084, 0.760)
S (0.781, 0.084, 0.760)
S (0.697, 0.916, 0.240)
S (0.266, 0.533, 0.417)

space group: C2/m, No. 12
E_form (uncorrected): -9.499 eV per formula unit
magnetization: 0.00 μB per formula unit